Entry 1:
VASP calculation (PBE) on a geometry-optimized Li4TlZnPd2 structure.

```
data_Li4TlZnPd2
_chemical_formula_sum 'Li4 Tl1 Zn1 Pd2'
_cell_length_a 4.408
_cell_length_b 4.408
_cell_length_c 6.312
_cell_angle_alpha 90.00
_cell_angle_beta 90.00
_cell_angle_gamma 90.00
_symmetry_space_group_name_H-M 'P -4 m 2'
_symmetry_Int_Tables_number 115
loop_
_symmetry_equiv_pos_as_xyz
'x,y,z'
'y,-x,-z'
'-x,-y,z'
'-y,x,-z'
'-x,y,z'
'-y,-x,-z'
'x,-y,z'
'y,x,-z'
loop_
_atom_site_label
_atom_site_fract_x
_atom_site_fract_y
_atom_site_fract_z
Li1 0.000 0.000 0.000
Li2 0.000 0.500 0.230
Li3 0.500 0.500 0.500
Tl1 0.000 0.000 0.500
Zn1 0.500 0.500 0.000
Pd1 0.000 0.500 0.776
```


Entry 2:
# LiZrTlPd PBE optimized geometry
# Magnetization   0.000 μB/f.u.
# ΔE to the lowest computed polymorph   0.00 eV per formula unit
data_LiZrTlPd
_chemical_formula_sum 'Li4 Zr4 Tl4 Pd4'
_cell_length_a 6.587
_cell_length_b 6.587
_cell_length_c 6.587
_cell_angle_alpha 90.00
_cell_angle_beta 90.00
_cell_angle_gamma 90.00
_symmetry_space_group_name_H-M 'F -4 3 m'
_symmetry_Int_Tables_number 216
_symmetry_space_group_name_Hall 'F -4 2 3'
loop_
_atom_site_label
_atom_site_fract_x
_atom_site_fract_y
_atom_site_fract_z
Li1 0.000 0.000 0.000
Zr1 0.250 0.250 0.750
Tl1 0.250 0.250 0.250
Pd1 0.000 0.000 0.500


Entry 3:
# LiZrTlPd PBE optimized geometry
# Magnetization   0.000 μB/f.u.
# ΔE to the lowest computed polymorph   0.91 eV per formula unit
data_LiZrTlPd
_chemical_formula_sum 'Li4 Zr4 Tl4 Pd4'
_cell_length_a 6.646
_cell_length_b 6.646
_cell_length_c 6.646
_cell_angle_alpha 90.00
_cell_angle_beta 90.00
_cell_angle_gamma 90.00
_symmetry_space_group_name_H-M 'F -4 3 m'
_symmetry_Int_Tables_number 216
_symmetry_space_group_name_Hall 'F -4 2 3'
loop_
_atom_site_label
_atom_site_fract_x
_atom_site_fract_y
_atom_site_fract_z
Li1 0.000 0.000 0.000
Zr1 0.250 0.250 0.750
Tl1 0.000 0.000 0.500
Pd1 0.250 0.250 0.250


Entry 4:
# LiZrTlPd PBE optimized geometry
# Magnetization   0.003 μB/f.u.
# ΔE to the lowest computed polymorph   0.41 eV per formula unit
data_LiZrTlPd
_chemical_formula_sum 'Li4 Zr4 Tl4 Pd4'
_cell_length_a 6.715
_cell_length_b 6.715
_cell_length_c 6.715
_cell_angle_alpha 90.00
_cell_angle_beta 90.00
_cell_angle_gamma 90.00
_symmetry_space_group_name_H-M 'F -4 3 m'
_symmetry_Int_Tables_number 216
_symmetry_space_group_name_Hall 'F -4 2 3'
loop_
_atom_site_label
_atom_site_fract_x
_atom_site_fract_y
_atom_site_fract_z
Li1 0.000 0.000 0.000
Zr1 0.000 0.000 0.500
Tl1 0.250 0.250 0.250
Pd1 0.250 0.250 0.750


Final energy values (in eV for the cell shown) by entry order: -24.8, -78.5, -74.9, -76.9.